No. 1
# Cu2RePt

Cu2RePt after structural relaxation (GGA-PBEsol, Alexandria).

Summary:
D(E_F): 2.46 states/eV per cell
DFT formation energy: 0.084 eV/atom
ΔE to the lowest computed polymorph: 0.24 eV per formula unit

a = 2.691 Å, b = 2.691 Å, c = 8.636 Å
α = 81.04°, β = 81.04°, γ = 60.00°
Atoms (fractional coordinates):
Cu: 0.003 0.003 0.991
Cu: 0.746 0.746 0.761
Pt: 0.498 0.498 0.506
Re: 0.253 0.253 0.242



No. 2
# Mg3Sn

Mg3Sn after structural relaxation (GGA-PBEsol, Alexandria).

Summary:
D(E_F): 1.32 states/eV per cell
DFT formation energy: -0.165 eV/atom

a = 4.447 Å, b = 4.447 Å, c = 4.447 Å
α = 90.00°, β = 90.00°, γ = 90.00°
Atoms (fractional coordinates):
Mg: 0.500 0.500 0.000
Mg: 0.500 0.000 0.500
Mg: 0.000 0.500 0.500
Sn: 0.000 0.000 0.000



No. 3
# Ba2Na2B10H2O19

Ba2Na2B10H2O19 after structural relaxation (GGA-PBEsol, Alexandria).

Summary:
D(E_F): 0.00 states/eV per cell

a = 6.650 Å, b = 6.650 Å, c = 9.272 Å
α = 86.65°, β = 86.65°, γ = 60.38°
Atoms (fractional coordinates):
Ba: 0.337 0.324 0.894
Ba: 0.676 0.663 0.106
Na: 0.697 0.303 0.500
Na: 0.213 0.787 0.500
B: 0.192 0.312 0.476
B: 0.688 0.808 0.524
B: 0.322 0.355 0.227
B: 0.645 0.678 0.773
B: 0.063 0.176 0.270
B: 0.824 0.937 0.730
B: 0.144 0.794 0.173
B: 0.206 0.856 0.827
B: 0.759 0.140 0.138
B: 0.860 0.241 0.862
H: 0.614 0.962 0.319
H: 0.038 0.386 0.681
O: 0.219 0.925 0.238
O: 0.075 0.781 0.762
O: 0.113 0.074 0.876
O: 0.926 0.887 0.124
O: 0.086 0.196 0.429
O: 0.804 0.914 0.571
O: 0.126 0.331 0.186
O: 0.669 0.874 0.814
O: 0.316 0.386 0.386
O: 0.614 0.684 0.614
O: 0.639 0.820 0.381
O: 0.180 0.361 0.619
O: 0.824 0.240 0.251
O: 0.760 0.176 0.749
O: 0.537 0.148 0.181
O: 0.852 0.463 0.819
O: 0.308 0.564 0.151
O: 0.436 0.692 0.849
O: 0.734 0.266 0.000



No. 4
# ErMg3

ErMg3 after structural relaxation (GGA-PBEsol, Alexandria).

Summary:
D(E_F): 1.81 states/eV per cell
DFT formation energy: -0.054 eV/atom

a = 5.105 Å, b = 5.105 Å, c = 5.105 Å
α = 60.00°, β = 60.00°, γ = 60.00°
Atoms (fractional coordinates):
Mg: 0.250 0.250 0.250
Mg: 0.500 0.500 0.500
Mg: 0.750 0.750 0.750
Er: 0.000 0.000 0.000



No. 5
# Sc5P

Sc5P after structural relaxation (GGA-PBEsol, Alexandria).

Summary:
D(E_F): 6.49 states/eV per cell
DFT formation energy: -0.307 eV/atom

a = 3.474 Å, b = 4.591 Å, c = 7.898 Å
α = 90.00°, β = 102.71°, γ = 90.00°
Atoms (fractional coordinates):
P: 0.003 0.000 0.006
Sc: 0.333 0.000 0.667
Sc: 0.647 0.000 0.294
Sc: 0.464 0.500 0.928
Sc: 0.776 0.500 0.552
Sc: 0.110 0.500 0.220



No. 6
# ZnSb2Se

ZnSb2Se after structural relaxation (GGA-PBEsol, Alexandria).

Summary:
D(E_F): 0.70 states/eV per cell
uncorrected formation energy: -0.15 eV/atom
ΔE to the lowest computed polymorph: 0.00 eV per formula unit

a = 4.033 Å, b = 4.033 Å, c = 7.781 Å
α = 74.98°, β = 74.98°, γ = 60.00°
Atoms (fractional coordinates):
Sb: 0.003 0.003 0.992
Sb: 0.744 0.744 0.767
Se: 0.527 0.527 0.418
Zn: 0.226 0.226 0.323



No. 7
# Li2CuSiO4

Li2CuSiO4 after structural relaxation (GGA-PBEsol, Alexandria).

Summary:
D(E_F): 7.38 states/eV per cell
uncorrected formation energy: -1.98 eV/atom
ΔE to the lowest computed polymorph: 0.15 eV per formula unit

a = 4.980 Å, b = 6.187 Å, c = 10.601 Å
α = 93.69°, β = 90.00°, γ = 90.00°
Site moments in Bohr magnetons follow the coordinates.
Atoms (fractional coordinates):
Si: 0.709 0.763 0.831  0.00
Si: 0.791 0.763 0.331  0.00
Si: 0.209 0.237 0.669  0.00
Si: 0.291 0.237 0.169  0.00
O: 0.807 0.988 0.901  0.04
O: 0.693 0.988 0.401  0.04
O: 0.820 0.743 0.684  0.10
O: 0.376 0.746 0.834  0.10
O: 0.680 0.743 0.184  0.10
O: 0.124 0.746 0.334  0.10
O: 0.825 0.555 0.907  0.12
O: 0.675 0.555 0.407  0.12
O: 0.325 0.445 0.593  0.12
O: 0.175 0.445 0.093  0.12
O: 0.876 0.254 0.666  0.10
O: 0.320 0.257 0.816  0.10
O: 0.624 0.254 0.166  0.10
O: 0.180 0.257 0.316  0.10
O: 0.307 0.012 0.599  0.04
O: 0.193 0.012 0.099  0.04
Cu: 0.251 0.518 0.925  0.58
Cu: 0.249 0.518 0.425  0.58
Cu: 0.751 0.482 0.575  0.58
Cu: 0.749 0.482 0.075  0.58
Li: 0.200 0.011 0.916  0.00
Li: 0.300 0.011 0.416  0.00
Li: 0.213 0.748 0.670  0.00
Li: 0.287 0.748 0.170  0.00
Li: 0.713 0.252 0.830  0.00
Li: 0.787 0.252 0.330  0.00
Li: 0.700 0.989 0.584  0.00
Li: 0.800 0.989 0.084  0.00



No. 8
# Rb2PbF

Rb2PbF after structural relaxation (GGA-PBEsol, Alexandria).

Summary:
uncorrected formation energy: -0.64 eV/atom

a = 5.971 Å, b = 5.971 Å, c = 5.971 Å
α = 60.00°, β = 60.00°, γ = 60.00°
Site moments in Bohr magnetons follow the coordinates.
Atoms (fractional coordinates):
Pb: 0.500 0.500 0.500  0.86
Rb: 0.250 0.250 0.250  0.07
Rb: 0.750 0.750 0.750  0.07
F: 0.000 0.000 0.000  0.07



No. 9
# TaSe

TaSe after structural relaxation (GGA-PBEsol, Alexandria).

Summary:
D(E_F): 3.31 states/eV per cell
uncorrected formation energy: 0.50 eV/atom

a = 4.048 Å, b = 4.048 Å, c = 4.048 Å
α = 60.00°, β = 60.00°, γ = 60.00°
Atoms (fractional coordinates):
Se: 0.000 0.000 0.000
Ta: 0.250 0.250 0.250



No. 10
# HfZn2HgMo

HfZn2HgMo after structural relaxation (GGA-PBEsol, Alexandria).

Summary:
D(E_F): 2.20 states/eV per cell
DFT formation energy: 1.134 eV/atom

a = 4.644 Å, b = 4.644 Å, c = 5.006 Å
α = 90.00°, β = 90.00°, γ = 90.00°
Atoms (fractional coordinates):
Zn: 0.000 0.500 0.000
Zn: 0.500 0.000 0.000
Mo: 0.000 0.000 0.000
Hf: 0.500 0.500 0.500
Hg: 0.000 0.000 0.500



No. 11
# MgPt2W

MgPt2W after structural relaxation (GGA-PBEsol, Alexandria).

Summary:
D(E_F): 1.95 states/eV per cell
DFT formation energy: -0.502 eV/atom

a = 2.788 Å, b = 2.788 Å, c = 7.876 Å
α = 90.00°, β = 90.00°, γ = 90.00°
Atoms (fractional coordinates):
Mg: 0.500 0.500 0.500
Pt: 0.000 0.000 0.758
Pt: 0.000 0.000 0.242
W: 0.500 0.500 0.000



No. 12
# LiAg3

LiAg3 after structural relaxation (GGA-PBEsol, Alexandria).

Summary:
D(E_F): 0.97 states/eV per cell
DFT formation energy: -0.135 eV/atom

a = 4.000 Å, b = 4.000 Å, c = 4.897 Å
α = 114.11°, β = 114.11°, γ = 90.00°
Atoms (fractional coordinates):
Ag: 0.250 0.750 0.500
Ag: 0.750 0.250 0.500
Ag: 0.500 0.500 0.000
Li: 0.000 0.000 0.000



Number 1: electronic total energy -28.63 eV for the cell shown. Number 2: electronic total energy -10.07 eV for the cell shown. Number 3: electronic total energy -269.59 eV for the cell shown. Number 4: electronic total energy -10.29 eV for the cell shown. Number 5: electronic total energy -40.66 eV for the cell shown. Number 6: electronic total energy -15.13 eV for the cell shown. Number 7: electronic total energy -203.46 eV for the cell shown. Number 8: electronic total energy -10.53 eV for the cell shown. Number 9: electronic total energy -15.41 eV for the cell shown. Number 10: electronic total energy -20.33 eV for the cell shown. Number 11: electronic total energy -31.46 eV for the cell shown. Number 12: electronic total energy -12.44 eV for the cell shown.